Record 1
The following is a DFT calculation (PBE-GGA) of a relaxed HfMoPt2 crystal.

Space group: Fm-3m
ΔE to the lowest computed polymorph in meV/atom: 0
Crystal system: cubic
Total energy in eV per atom: -8.5762
Formation enthalpy at 0 K in eV/f.u.: -1.4
Total magnetic moment in μB/f.u.: 0.6

Lattice parameters (Å, degrees): 4.6025 4.6025 4.6025 60.00 60.00 60.00
Sites, in units of the cell vectors:
Mo: 0.0000 0.0000 0.0000
Hf: 0.5000 0.5000 0.5000
Pt: 0.2500 0.2500 0.2500
Pt: 0.7500 0.7500 0.7500

***

Record 2
The following is a DFT calculation (PBE-GGA) of a relaxed Hf3Mo2Pt crystal.

Space group: P-3m1
Crystal system: trigonal
Total energy in eV per atom: -10.0423
Formation enthalpy at 0 K in eV/f.u.: -2.7
Total magnetic moment in μB/f.u.: 0.0

Lattice parameters (Å, degrees): 4.6846 4.6846 5.6973 90.00 90.00 120.00
Sites, in units of the cell vectors:
Hf: 0.0000 0.0000 0.5000
Hf: 0.6667 0.3333 0.8289
Hf: 0.3333 0.6667 0.1711
Mo: 0.6667 0.3333 0.3355
Mo: 0.3333 0.6667 0.6645
Pt: 0.0000 0.0000 0.0000

***

Record 3
The following is a DFT calculation (PBE-GGA) of a relaxed Hf7MoPt2 crystal.

Space group: Fm-3m
Crystal system: cubic
Total energy in eV per atom: -8.2328
Formation enthalpy at 0 K in eV/f.u.: 10.3
Total magnetic moment in μB/f.u.: 0.0

Lattice parameters (Å, degrees): 7.0188 7.0188 7.0188 60.00 60.00 60.00
Sites, in units of the cell vectors:
Hf: 0.5000 0.5000 0.5000
Hf: 0.2465 0.7535 0.7535
Hf: 0.2465 0.7535 0.2465
Hf: 0.7535 0.2465 0.7535
Hf: 0.7535 0.7535 0.2465
Hf: 0.2465 0.2465 0.7535
Hf: 0.7535 0.2465 0.2465
Mo: 0.0000 0.0000 0.0000
Pt: 0.2500 0.2500 0.2500
Pt: 0.7500 0.7500 0.7500

***

Record 4
The following is a DFT calculation (PBE-GGA) of a relaxed HfMoPt2 crystal.

Space group: I-42d
ΔE to the lowest computed polymorph in meV/atom: 317
Crystal system: tetragonal
Total energy in eV per atom: -8.2595
Formation enthalpy at 0 K in eV/f.u.: -0.2
Total magnetic moment in μB/f.u.: 0.0

Lattice parameters (Å, degrees): 3.9806 3.9806 9.6534 78.10 78.10 90.00
Sites, in units of the cell vectors:
Mo: 0.5000 0.5000 0.0000
Mo: 0.2500 0.7500 0.5000
Hf: 0.0000 0.0000 0.0000
Hf: 0.7500 0.2500 0.5000
Pt: 0.6193 0.1250 0.2500
Pt: 0.1307 0.6250 0.2500
Pt: 0.3750 0.3807 0.7500
Pt: 0.8750 0.8693 0.7500

***

Record 5
The following is a DFT calculation (PBE-GGA) of a relaxed Hf2SiMoPt crystal.

Space group: P4/mmm
Crystal system: tetragonal
Total energy in eV per atom: -7.4588
Total magnetic moment in μB/f.u.: 0.0

Lattice parameters (Å, degrees): 4.9596 4.9596 4.7839 90.00 90.00 90.00
Sites, in units of the cell vectors:
Mo: 0.0000 0.0000 0.0000
Hf: 0.0000 0.5000 0.0000
Hf: 0.5000 0.0000 0.0000
Si: 0.5000 0.5000 0.5000
Pt: 0.0000 0.0000 0.5000

***

Record 6
The following is a DFT calculation (PBE-GGA) of a relaxed HfTiMoPt crystal.

Space group: F-43m
Crystal system: cubic
Total energy in eV per atom: -9.3072
Formation enthalpy at 0 K in eV/f.u.: -2.5
Total magnetic moment in μB/f.u.: 0.0

Lattice parameters (Å, degrees): 4.5641 4.5641 4.5641 60.00 60.00 60.00
Sites, in units of the cell vectors:
Mo: 0.0000 0.0000 0.0000
Hf: 0.7500 0.7500 0.7500
Pt: 0.5000 0.5000 0.5000
Ti: 0.2500 0.2500 0.2500

***

no.,calculated volume (Å³/cell)
1,69
2,108
3,244
4,146
5,118
6,67